Entry 1:
## MnMoOs2 (SCAN)

Data for a crystal of MnMoOs2 relaxed with PBEsol.

Computed properties:
**Energy relative to the elements**: 0.05 eV per atom
**Calculated density**: 16.2 g/cm³

Lattice parameters (Å, degrees): 5.3761 7.5327 2.6959 90.00 90.00 90.00
Fractional coordinates of all 8 atoms:
1 Mn 0.0000 0.0000 0.0000
2 Mn 0.5000 0.5000 0.0000
3 Mo 0.0000 0.5000 0.0000
4 Mo 0.5000 0.0000 0.0000
5 Os 0.2500 0.2500 0.5000
6 Os 0.2500 0.7500 0.5000
7 Os 0.7500 0.2500 0.5000
8 Os 0.7500 0.7500 0.5000

=====

Entry 2:
## Mn2MoOs (SCAN)

Data for a crystal of Mn2MoOs relaxed with PBEsol.

Computed properties:
**Energy relative to the elements**: 0.03 eV per atom
**Calculated density**: 12.9 g/cm³

Lattice parameters (Å, degrees): 3.7478 3.7478 3.6239 90.00 90.00 90.00
Fractional coordinates of all 4 atoms:
1 Mn 0.0000 0.5000 0.0000
2 Mn 0.5000 0.0000 0.0000
3 Mo 0.0000 0.0000 0.5000
4 Os 0.5000 0.5000 0.5000

=====

Entry 3:
## MnMoOs2 (SCAN)

Data for a crystal of MnMoOs2 relaxed with PBEsol.

Computed properties:
**Energy relative to the elements**: 0.07 eV per atom
**Calculated density**: 16.2 g/cm³

Lattice parameters (Å, degrees): 2.6913 3.7537 5.3841 90.00 90.00 90.00
Fractional coordinates of all 4 atoms:
1 Mn 0.0000 0.0000 0.0000
2 Mo 0.5000 0.5000 0.2528
3 Os 0.0000 0.0000 0.5156
4 Os 0.5000 0.5000 0.7744

=====

Entry 4:
## MnMoOs2 (SCAN)

Data for a crystal of MnMoOs2 relaxed with PBEsol.

Computed properties:
**Energy relative to the elements**: 0.16 eV per atom
**Calculated density**: 16.0 g/cm³

Lattice parameters (Å, degrees): 2.7394 4.3756 9.2090 90.00 90.00 90.00
Fractional coordinates of all 8 atoms:
1 Mn 0.0000 0.0000 0.0000
2 Mn 0.5000 0.5000 0.5000
3 Mo 0.0000 0.0000 0.5000
4 Mo 0.5000 0.5000 0.0000
5 Os 0.0000 0.5000 0.2792
6 Os 0.0000 0.5000 0.7208
7 Os 0.5000 0.0000 0.2208
8 Os 0.5000 0.0000 0.7792

=====

Entry 5:
## MnMoOs2 (SCAN)

Data for a crystal of MnMoOs2 relaxed with PBEsol.

Computed properties:
**Energy relative to the elements**: 0.01 eV per atom
**Calculated density**: 16.2 g/cm³

Lattice parameters (Å, degrees): 3.8028 3.8028 7.5238 90.00 90.00 90.00
Fractional coordinates of all 8 atoms:
1 Mn 0.0000 0.0000 0.0000
2 Mn 0.5000 0.5000 0.5000
3 Mo 0.0000 0.0000 0.5000
4 Mo 0.5000 0.5000 0.0000
5 Os 0.0000 0.5000 0.2500
6 Os 0.0000 0.5000 0.7500
7 Os 0.5000 0.0000 0.2500
8 Os 0.5000 0.0000 0.7500

=====

Entry 6:
## Mn2MoOs (SCAN)

Data for a crystal of Mn2MoOs relaxed with PBEsol.

Computed properties:
**Energy relative to the elements**: -0.01 eV per atom
**Calculated density**: 12.7 g/cm³

Lattice parameters (Å, degrees): 2.9718 4.1376 8.4427 90.00 90.00 90.00
Fractional coordinates of all 8 atoms:
1 Mn 0.0000 0.0000 0.0000
2 Mn 0.0000 0.5000 0.2644
3 Mn 0.5000 0.0000 0.7644
4 Mn 0.5000 0.5000 0.5000
5 Mo 0.0000 0.5000 0.7512
6 Mo 0.5000 0.0000 0.2512
7 Os 0.0000 0.0000 0.5121
8 Os 0.5000 0.5000 0.0121

=====

Entry 7:
## MnMoP2 (SCAN)

Data for a crystal of MnMoP2 relaxed with PBEsol.

Computed properties:
**Energy relative to the elements**: -0.43 eV per atom
**Calculated density**: 7.1 g/cm³

Lattice parameters (Å, degrees): 3.0901 3.0901 5.2198 90.00 90.00 90.00
Fractional coordinates of all 4 atoms:
1 Mn 0.0000 0.0000 0.0000
2 Mo 0.5000 0.5000 0.3499
3 P 0.0000 0.0000 0.5505
4 P 0.5000 0.5000 0.8452

=====

Entry 8:
## MnMoP2 (SCAN)

Data for a crystal of MnMoP2 relaxed with PBEsol.

Computed properties:
**Energy relative to the elements**: -0.54 eV per atom
**Calculated density**: 6.8 g/cm³

Lattice parameters (Å, degrees): 3.1300 3.1360 10.5408 90.00 90.00 90.00
Fractional coordinates of all 8 atoms:
1 Mn 0.0000 0.0000 0.0000
2 Mn 0.5000 0.5000 0.5000
3 Mo 0.0000 0.5000 0.7534
4 Mo 0.5000 0.0000 0.2534
5 P 0.0000 0.0000 0.4287
6 P 0.0000 0.5000 0.1605
7 P 0.5000 0.0000 0.6605
8 P 0.5000 0.5000 0.9287

=====

Entry 9:
## Mn6Mo6P7 (SCAN)

Data for a crystal of Mn6Mo6P7 relaxed with PBEsol.

Computed properties:
**Energy relative to the elements**: -0.57 eV per atom
**Calculated density**: 7.7 g/cm³

Lattice parameters (Å, degrees): 9.2398 9.2398 3.2745 90.00 90.00 120.00
Fractional coordinates of all 19 atoms:
1 Mn 0.0150 0.8100 0.0000
2 Mn 0.1900 0.2050 0.0000
3 Mn 0.2582 0.0179 0.5000
4 Mn 0.7598 0.7418 0.5000
5 Mn 0.7950 0.9850 0.0000
6 Mn 0.9821 0.2402 0.5000
7 Mo 0.1412 0.5052 0.0000
8 Mo 0.3640 0.8588 0.0000
9 Mo 0.4948 0.6360 0.0000
10 Mo 0.5106 0.3795 0.5000
11 Mo 0.6205 0.1311 0.5000
12 Mo 0.8689 0.4894 0.5000
13 P 0.0000 0.0000 0.5000
14 P 0.1497 0.7199 0.5000
15 P 0.2801 0.4298 0.5000
16 P 0.4371 0.1601 0.0000
17 P 0.5702 0.8503 0.5000
18 P 0.7230 0.5629 0.0000
19 P 0.8399 0.2770 0.0000

=====

Entry 10:
## MnMo3P (SCAN)

Data for a crystal of MnMo3P relaxed with PBEsol.

Computed properties:
**Energy relative to the elements**: 0.59 eV per atom
**Calculated density**: 7.3 g/cm³

Lattice parameters (Å, degrees): 4.3968 4.3968 4.3968 90.00 90.00 90.00
Fractional coordinates of all 5 atoms:
1 Mn 0.0000 0.0000 0.0000
2 Mo 0.0000 0.5000 0.5000
3 Mo 0.5000 0.0000 0.5000
4 Mo 0.5000 0.5000 0.0000
5 P 0.5000 0.5000 0.5000

=====

Entry 11:
## MnMoP2S (SCAN)

Data for a crystal of MnMoP2S relaxed with PBEsol.

Computed properties:
**ΔE_f (raw)**: 0.410 eV/atom
**Calculated density**: 4.1 g/cm³

Lattice parameters (Å, degrees): 4.6989 4.6989 4.5176 90.00 90.00 90.00
Fractional coordinates of all 5 atoms:
1 Mn 0.0000 0.0000 0.0000
2 Mo 0.5000 0.5000 0.5000
3 P 0.0000 0.5000 0.5000
4 P 0.5000 0.0000 0.5000
5 S 0.5000 0.5000 0.0000

=====

Entry 12:
## Y2MnMoP (SCAN)

Data for a crystal of Y2MnMoP relaxed with PBEsol.

Computed properties:
**Energy relative to the elements**: 0.31 eV per atom
**Calculated density**: 4.7 g/cm³

Lattice parameters (Å, degrees): 5.2636 5.2636 4.5504 90.00 90.00 90.00
Fractional coordinates of all 5 atoms:
1 Y 0.0000 0.5000 0.0000
2 Y 0.5000 0.0000 0.0000
3 Mn 0.0000 0.0000 0.5000
4 Mo 0.5000 0.5000 0.0000
5 P 0.5000 0.5000 0.5000